Entry 1:
Entry from the Alexandria database: a relaxed structure of SrSc4Rh (PBE).

POSCAR file:
```
SrSc4Rh
1.0
-5.163 -2.684 1.390
-4.372 -0.363 -4.067
-1.379 -5.283 -2.446
Sr Sc Rh
1 4 1
Direct
0.750 0.750 0.750
0.373 0.882 0.373
0.882 0.373 0.373
0.373 0.373 0.882
0.373 0.373 0.373
0.000 0.000 0.000
```

=====

Entry 2:
Entry from the Alexandria database: a relaxed structure of HfMnPRh2 (PBE).

POSCAR file:
```
HfMnPRh2
1.0
-3.739 -1.889 1.141
2.088 -4.381 -0.411
1.186 0.174 4.173
Rh Mn Hf P
2 1 1 1
Direct
0.000 0.000 0.500
0.500 0.000 0.000
0.000 0.000 0.000
0.000 0.500 0.000
0.500 0.500 0.500
```

=====

Entry 3:
Entry from the Alexandria database: a relaxed structure of AcCeBiAu (PBE).

POSCAR file:
```
AcCeBiAu
1.0
-4.071 0.798 3.766
-5.332 -1.032 -1.377
-2.665 -4.401 2.219
Ac Au Bi Ce
1 1 1 1
Direct
0.000 0.000 0.000
0.750 0.750 0.750
0.250 0.250 0.250
0.500 0.500 0.500
```

=====

Entry 4:
Entry from the Alexandria database: a relaxed structure of Ag3W (PBE).

POSCAR file:
```
Ag3W
1.0
5.191 0.000 0.000
0.000 5.191 0.000
0.000 0.000 5.191
Ag W
3 1
Direct
0.000 0.000 0.500
0.000 0.500 0.000
0.500 0.000 0.000
0.000 0.000 0.000
```

Properties
Distance to the lowest polymorph of the same formula (eV/atom): 1.731

=====

Record-wise E_form values, in eV per atom: 0.42, 0.68, -0.61, 2.12